No. 1
DFT (PBE-GGA) results for crystalline NdSm2Sn at its relaxed geometry.

The structure belongs to space group P4/mmm (No. 123); the cell edges are 4.923, 4.923 and 4.900 Å and the angles 90.00°, 90.00° and 90.00°. The distinct sites, in fractional coordinates, are Nd at (0.000, 0.000, 0.000), Sm at (0.000, 0.500, 0.500) and Sn at (0.500, 0.500, 0.000).

The spin magnetization comes out at 0.00 μB/atom. The calculation puts the electronic total energy at -4.998 eV/atom. The density of states at the Fermi level is 1.0225 states/eV/atom. For the energy of formation from the pure elements, the calculation gives -0.445 eV/atom. As for the crystal system: tetragonal.

No. 2
DFT (PBE-GGA) results for crystalline Ba2HfAlAs at its relaxed geometry.

The structure belongs to space group P4/mmm (No. 123); the cell edges are 6.343, 6.343 and 4.825 Å and the angles 90.00°, 90.00° and 90.00°. The distinct sites, in fractional coordinates, are Ba at (0.000, 0.500, 0.000), Hf at (0.000, 0.000, 0.500), Al at (0.500, 0.500, 0.500) and As at (0.500, 0.500, 0.000).

The spin magnetization comes out at 0.71 μB/atom. The calculation puts the electronic total energy at -3.967 eV/atom. The density of states at the Fermi level is 1.8739 states/eV/atom. For the energy of formation from the pure elements, the calculation gives 0.471 eV/atom. As for the crystal system: tetragonal.

No. 3
DFT (PBE-GGA) results for crystalline EuPaRh4 at its relaxed geometry.

The structure belongs to space group F-43m (No. 216); the cell edges are 7.566, 7.566 and 7.566 Å and the angles 90.00°, 90.00° and 90.00°. The distinct sites, in fractional coordinates, are Eu at (0.000, 0.000, 0.000), Pa at (0.250, 0.250, 0.750) and Rh at (0.125, 0.125, 0.375).

The spin magnetization comes out at 1.17 μB/atom. The calculation puts the electronic total energy at -8.769 eV/atom. The density of states at the Fermi level is 0.8391 states/eV/atom. For the energy of formation from the pure elements, the calculation gives -0.573 eV/atom. As for the crystal system: cubic.

No. 4
DFT (PBE-GGA) results for crystalline CsNa2TlSb at its relaxed geometry.

The structure belongs to space group P4/mmm (No. 123); the cell edges are 5.967, 5.967 and 6.481 Å and the angles 90.00°, 90.00° and 90.00°. The distinct sites, in fractional coordinates, are Cs at (0.000, 0.000, 0.000), Na at (0.000, 0.500, 0.500), Tl at (0.500, 0.500, 0.000) and Sb at (0.500, 0.500, 0.500).

The spin magnetization comes out at 0.00 μB/atom. For the energy relative to the elements, uncorrected, the calculation gives -0.11 eV/atom. The calculation puts the electronic total energy at -2.109 eV/atom. The density of states at the Fermi level is 0.5605 states/eV/atom. As for the crystal system: tetragonal.